Record 1
Y4MgRh | GGA-PBE | optimized geometry

abc: 9.7413 9.7413 9.7413
angles: 60.00 60.00 60.00
Element x y z (fractional)
Mg 0.8295 0.8295 0.8295
Mg 0.5114 0.8295 0.8295
Mg 0.8295 0.5114 0.8295
Mg 0.8295 0.8295 0.5114
Rh 0.3918 0.3918 0.8246
Rh 0.3918 0.3918 0.3918
Rh 0.8246 0.3918 0.3918
Rh 0.3918 0.8246 0.3918
Y 0.0619 0.4381 0.0619
Y 0.5973 0.2082 0.5973
Y 0.4381 0.0619 0.4381
Y 0.4381 0.0619 0.0619
Y 0.0619 0.4381 0.4381
Y 0.5973 0.5973 0.5973
Y 0.1856 0.8144 0.8144
Y 0.4381 0.4381 0.0619
Y 0.8144 0.1856 0.8144
Y 0.8144 0.1856 0.1856
Y 0.1856 0.1856 0.8144
Y 0.8144 0.8144 0.1856
Y 0.0619 0.0619 0.4381
Y 0.5973 0.5973 0.2082
Y 0.1856 0.8144 0.1856
Y 0.2082 0.5973 0.5973

Summary:
Electronic total energy = -6.199 eV per atom
Excess energy over the best structure of this formula in the dataset = 0.00 eV/f.u.
ΔH_f (0 K) = -399.0 meV/atom



Record 2
Y5Sb3 | GGA-PBE | optimized geometry

abc: 8.9891 8.9891 8.9821
angles: 96.82 96.82 139.63
Last column: magnetic moment on the atom in μB.
Element x y z (fractional)
Y 0.2497 0.7502 0.5001  -0.04
Y 0.7821 0.0796 0.8617  0.07
Y 0.2828 0.4217 0.7029  0.06
Y 0.0780 0.2169 0.2971  0.06
Y 0.9213 0.7832 0.7029  0.06
Y 0.5792 0.2825 0.8617  0.07
Y 0.4200 0.7176 0.1383  0.07
Y 0.2172 0.9204 0.1383  0.07
Y 0.7165 0.5784 0.2971  0.06
Y 0.7494 0.2498 0.4999  -0.04
Sb 0.2496 0.2501 0.0000  -0.01
Sb 0.3364 0.1630 0.5000  0.00
Sb 0.6626 0.8368 0.5000  0.00
Sb 0.7496 0.7500 0.0000  -0.01
Sb 0.8372 0.3376 0.1740  0.00
Sb 0.1618 0.6623 0.8260  0.00

Summary:
Energy relative to the elements, uncorrected = -6.9 eV/f.u.
Electronic total energy = -6.443 eV per atom
Excess energy over the best structure of this formula in the dataset = 0.85 eV/f.u.



Record 3
RbTl3Bi2 | GGA-PBE | optimized geometry

abc: 6.6328 8.3916 8.3916
angles: 100.82 90.00 90.00
Element x y z (fractional)
Tl 0.2500 0.5918 0.8941
Tl 0.7500 0.0077 0.0077
Tl 0.7500 0.4082 0.1059
Tl 0.7500 0.1059 0.4082
Tl 0.2500 0.8941 0.5918
Tl 0.2500 0.9923 0.9923
Rb 0.7500 0.6547 0.6547
Rb 0.2500 0.3453 0.3453
Bi 0.5000 0.2488 0.7512
Bi 0.0000 0.7512 0.2488
Bi 0.0000 0.2488 0.7512
Bi 0.5000 0.7512 0.2488

Summary:
Electronic total energy = -2.732 eV per atom
Excess energy over the best structure of this formula in the dataset = 0.30 eV/f.u.
ΔH_f (0 K) = -94.3 meV/atom



Record 4
CsNp2SbTe4 | GGA-PBE | optimized geometry

abc: 4.4589 10.1337 14.3510
angles: 90.00 90.00 102.71
Last column: magnetic moment on the atom in μB.
Element x y z (fractional)
Te 0.5316 0.0631 0.7500  0.15
Te 0.4684 0.9369 0.2500  0.15
Te 0.8030 0.6060 0.9169  0.01
Te 0.8030 0.6060 0.5831  0.01
Te 0.1970 0.3940 0.0831  0.01
Te 0.0000 0.0000 0.5000  0.12
Te 0.1970 0.3940 0.4169  0.01
Te 0.0000 0.0000 0.0000  0.12
Cs 0.1869 0.3738 0.7500  0.00
Cs 0.8131 0.6262 0.2500  0.00
Sb 0.1131 0.2261 0.2500  0.00
Sb 0.8869 0.7739 0.7500  0.00
Np 0.4200 0.8400 0.6043  -3.91
Np 0.4200 0.8400 0.8957  -3.91
Np 0.5800 0.1600 0.3957  -3.91
Np 0.5800 0.1600 0.1043  -3.91

Summary:
Energy relative to the elements, uncorrected = -4.1 eV/f.u.
Electronic total energy = -5.935 eV per atom



Record 5
TbMgNiGe2 | GGA-PBE | optimized geometry

abc: 5.7680 5.4976 5.7691
angles: 90.00 90.00 90.00
Element x y z (fractional)
Mg 0.6209 0.7500 0.0000
Mg 0.3791 0.2500 0.0000
Ni 0.0000 0.5000 0.0000
Ni 0.0000 0.0000 0.0000
Tb 0.2380 0.2500 0.5000
Tb 0.7620 0.7500 0.5000
Ge 0.2381 0.7500 0.7305
Ge 0.7619 0.2500 0.7305
Ge 0.7619 0.2500 0.2695
Ge 0.2381 0.7500 0.2695

Summary:
Electronic total energy = -4.699 eV per atom
ΔH_f (0 K) = -451.2 meV/atom



Record 6
Cu2SiSnN | GGA-PBE | optimized geometry

abc: 4.8939 3.3247 4.8939
angles: 90.00 90.00 90.00
Element x y z (fractional)
Cu 0.5000 0.0000 0.0000
Cu 0.0000 0.0000 0.5000
N 0.0000 0.5000 0.0000
Si 0.0000 0.0000 0.0000
Sn 0.5000 0.5000 0.5000

Summary:
Energy relative to the elements, uncorrected = 2.6 eV/f.u.
Electronic total energy = -4.659 eV per atom



Record 7
Ba2CaTe | GGA-PBE | optimized geometry

abc: 4.2449 4.2436 10.6196
angles: 90.00 90.00 90.00
Element x y z (fractional)
Ca 0.5000 0.5000 0.2500
Te 0.5000 0.5000 0.7500
Ba 0.0000 0.0000 0.9423
Ba 0.0000 0.0000 0.5577

Summary:
Energy relative to the elements, uncorrected = -2.9 eV/f.u.
Electronic total energy = -2.978 eV per atom



Record 8
BaH2ClO | GGA-PBE | optimized geometry

abc: 4.1609 6.5979 6.4000
angles: 90.00 90.00 108.38
Last column: magnetic moment on the atom in μB.
Element x y z (fractional)
H 0.0502 0.1004 0.8300  0.04
H 0.0502 0.1004 0.6700  0.04
H 0.9498 0.8996 0.1700  0.04
H 0.9498 0.8996 0.3300  0.04
Ba 0.6068 0.2137 0.2500  0.00
Ba 0.3932 0.7863 0.7500  0.00
O 0.0000 0.0000 0.0000  0.09
O 0.0000 0.0000 0.5000  0.09
Cl 0.2919 0.5839 0.2500  0.01
Cl 0.7081 0.4161 0.7500  0.01

Summary:
Electronic total energy = -4.330 eV per atom



Record 9
InTcSeN2 | GGA-PBE | optimized geometry

abc: 4.0899 5.8569 4.0899
angles: 90.00 90.00 90.00
Last column: magnetic moment on the atom in μB.
Element x y z (fractional)
N 0.5000 0.0000 0.0000  0.14
N 0.0000 0.0000 0.5000  0.26
Tc 0.5000 0.5000 0.5000  3.58
Se 0.0000 0.5000 0.0000  0.12
In 0.0000 0.0000 0.0000  0.01

Summary:
Energy relative to the elements, uncorrected = 9.5 eV/f.u.
Electronic total energy = -4.749 eV per atom
Excess energy over the best structure of this formula in the dataset = 7.36 eV/f.u.



Record 10
Zr2MnPAu | GGA-PBE | optimized geometry

abc: 4.7069 4.7452 4.7069
angles: 90.00 90.00 90.00
Last column: magnetic moment on the atom in μB.
Element x y z (fractional)
Mn 0.0000 0.0000 0.0000  0.81
Zr 0.5000 0.0000 0.0000  -0.11
Zr 0.0000 0.0000 0.5000  -0.14
Au 0.0000 0.5000 0.0000  0.06
P 0.5000 0.5000 0.5000  0.04

Summary:
Electronic total energy = -6.504 eV per atom
ΔH_f (0 K) = 486.8 meV/atom



Record 11
KCuCl2 | GGA-PBE | optimized geometry

abc: 3.6062 4.0872 6.8863
angles: 90.18 90.00 90.00
Element x y z (fractional)
Cl 0.0000 0.2498 0.0128
Cl 0.0000 0.2502 0.4872
K 0.5000 0.7500 0.7500
Cu 0.5000 0.2500 0.2500

Summary:
Energy relative to the elements, uncorrected = -4.2 eV/f.u.
Electronic total energy = -3.283 eV per atom
Excess energy over the best structure of this formula in the dataset = 0.56 eV/f.u.



Record 12
Ba12Ni5Au3 | GGA-PBE | optimized geometry

abc: 16.2517 16.2517 16.2517
angles: 109.47 109.47 109.47
Element x y z (fractional)
Ba 0.4118 0.2885 0.3219
Ba 0.9118 0.0900 0.6233
Ba 0.0900 0.9118 0.1233
Ba 0.5882 0.8767 0.4100
Ba 0.2115 0.5334 0.6233
Ba 0.9100 0.0882 0.8767
Ba 0.7885 0.3219 0.9118
Ba 0.6233 0.0334 0.2115
Ba 0.4100 0.3767 0.5882
Ba 0.0334 0.6233 0.7115
Ba 0.5334 0.3219 0.9100
Ba 0.7115 0.1233 0.0334
Ba 0.0882 0.1781 0.2115
Ba 0.0900 0.1781 0.4666
Ba 0.7885 0.4666 0.3767
Ba 0.9118 0.8219 0.7885
Ba 0.4118 0.1233 0.5900
Ba 0.4666 0.7885 0.8767
Ba 0.6233 0.5900 0.9118
Ba 0.6781 0.4666 0.5900
Ba 0.5334 0.2115 0.1233
Ba 0.0334 0.4100 0.8219
Ba 0.2115 0.6781 0.0882
Ba 0.1233 0.4118 0.0900
Ba 0.2885 0.4118 0.8219
Ba 0.8219 0.9100 0.0334
Ba 0.3767 0.9666 0.7885
Ba 0.6781 0.2115 0.5882
Ba 0.9100 0.8219 0.5334
Ba 0.4100 0.0334 0.3219
Ba 0.4666 0.6781 0.0900
Ba 0.5900 0.6233 0.4118
Ba 0.3219 0.5334 0.4100
Ba 0.5900 0.9666 0.6781
Ba 0.9666 0.3767 0.2885
Ba 0.9666 0.5900 0.1781
Ba 0.5882 0.7115 0.6781
Ba 0.0882 0.9100 0.3767
Ba 0.8767 0.2885 0.4666
Ba 0.7115 0.5882 0.1781
Ba 0.1781 0.0900 0.9666
Ba 0.3767 0.4100 0.0882
Ba 0.1233 0.7115 0.5334
Ba 0.8219 0.9118 0.2885
Ba 0.8767 0.5882 0.9100
Ba 0.3219 0.7885 0.4118
Ba 0.2885 0.8767 0.9666
Ba 0.1781 0.0882 0.7115
Au 0.8750 0.1250 0.2500
Au 0.6250 0.2500 0.3750
Au 0.2500 0.6250 0.8750
Au 0.7500 0.8750 0.6250
Au 0.1250 0.2500 0.8750
Au 0.8750 0.7500 0.1250
Au 0.3750 0.7500 0.6250
Au 0.2500 0.1250 0.3750
Au 0.3750 0.6250 0.2500
Au 0.6250 0.3750 0.7500
Au 0.7500 0.3750 0.1250
Au 0.1250 0.8750 0.7500
Ni 0.0000 0.5000 0.5000
Ni 0.5000 0.0000 0.5000
Ni 0.5000 0.5000 0.0000
Ni 0.2500 0.3750 0.6250
Ni 0.6250 0.8750 0.2500
Ni 0.3750 0.2500 0.1250
Ni 0.8750 0.6250 0.7500
Ni 0.5000 0.5000 0.5000
Ni 0.2500 0.8750 0.1250
Ni 0.7500 0.1250 0.8750
Ni 0.8750 0.2500 0.6250
Ni 0.5000 0.0000 0.0000
Ni 0.3750 0.1250 0.7500
Ni 0.7500 0.6250 0.3750
Ni 0.1250 0.3750 0.2500
Ni 0.1250 0.7500 0.3750
Ni 0.0000 0.5000 0.0000
Ni 0.0000 0.0000 0.0000
Ni 0.6250 0.7500 0.8750
Ni 0.0000 0.0000 0.5000

Summary:
Electronic total energy = -3.112 eV per atom
ΔH_f (0 K) = -21.6 meV/atom